Rh4W | PBE | relaxed

```
Rh4W
1.0
-1.755 1.755 6.429
1.755 -1.755 6.429
1.755 1.755 -6.429
Rh W
4 1
Direct
0.097 0.097 0.000
0.250 0.750 0.500
0.750 0.250 0.500
0.903 0.903 0.000
0.500 0.500 0.000
```

SG	I4/mmm (139)
energy of formation from the pure elements	0.4676	eV/atom
total magnetic moment	0.00	μB per formula unit
electronic total energy	-40.02	eV per cell

=====

Rh3W5 | PBE | relaxed

```
Rh3W5
1.0
7.688 0.000 0.000
-3.844 6.658 0.000
0.000 0.000 4.948
Rh W
6 10
Direct
0.000 0.413 0.250
0.000 0.587 0.750
0.413 0.000 0.250
0.413 0.413 0.750
0.587 0.000 0.750
0.587 0.587 0.250
0.000 0.213 0.750
0.000 0.787 0.250
0.213 0.000 0.750
0.213 0.213 0.250
0.333 0.667 0.000
0.333 0.667 0.500
0.667 0.333 0.000
0.667 0.333 0.500
0.787 0.000 0.250
0.787 0.787 0.750
```

polymorph energy (0 for the lowest one)	22.7	kJ/mol of atoms
SG	P6_3/mcm (193)
energy of formation from the pure elements	0.2120	eV/atom
total magnetic moment	0.00	μB per formula unit
electronic total energy	-170.25	eV per cell